Record 1
Material: Ta4MnW3
Method: DFT, PBE
State: relaxed

Structure (CIF):
```
data_Ta4MnW3
_cell_length_a 3.2013
_cell_length_b 3.2013
_cell_length_c 12.8459
_cell_angle_alpha 90.00
_cell_angle_beta 90.00
_cell_angle_gamma 90.00
_symmetry_space_group_name_H-M 'P 4/m m m'
_symmetry_Int_Tables_number 123
_symmetry_space_group_name_Hall '-P 4 2'
loop_
_atom_site_label
_atom_site_type_symbol
_atom_site_fract_x
_atom_site_fract_y
_atom_site_fract_z
_atom_site_occupancy
Ta1 Ta 0.0000 0.0000 0.1171 1
Ta2 Ta 0.0000 0.0000 0.3717 1
Mn1 Mn 0.5000 0.5000 0.0000 1
W1 W 0.5000 0.5000 0.2447 1
W2 W 0.5000 0.5000 0.5000 1
```

Results
- Formation enthalpy at 0 K: -0.112 eV per atom
- Magnetization: 0.0 μB/cell
- Volume: 16.5 A^3/atom

Record 2
Material: La2CrBr
Method: DFT, PBE
State: relaxed

Structure (CIF):
```
data_La2CrBr
_cell_length_a 4.6820
_cell_length_b 5.9995
_cell_length_c 8.2430
_cell_angle_alpha 90.00
_cell_angle_beta 90.00
_cell_angle_gamma 90.00
_symmetry_space_group_name_H-M 'I m m m'
_symmetry_Int_Tables_number 71
_symmetry_space_group_name_Hall '-I 2 2'
loop_
_atom_site_label
_atom_site_type_symbol
_atom_site_fract_x
_atom_site_fract_y
_atom_site_fract_z
_atom_site_occupancy
La1 La 0.0000 0.0000 0.2504 1
Cr1 Cr 0.0000 0.5000 0.0000 1
Br1 Br 0.0000 0.5000 0.5000 1
```

Results
- Magnetization: 7.5 μB/cell
- Distance to the lowest polymorph of the same formula: 242 meV per atom
- Formation energy from raw total energies: -0.40 eV per formula unit
- Volume: 28.9 A^3/atom

Record 3
Material: Pa2Bi3H
Method: DFT, PBE
State: relaxed

Structure (CIF):
```
data_Pa2Bi3H
_cell_length_a 8.5290
_cell_length_b 11.3119
_cell_length_c 6.3465
_cell_angle_alpha 90.00
_cell_angle_beta 90.00
_cell_angle_gamma 90.00
_symmetry_space_group_name_H-M 'C m c m'
_symmetry_Int_Tables_number 63
_symmetry_space_group_name_Hall '-C 2c 2'
loop_
_atom_site_label
_atom_site_type_symbol
_atom_site_fract_x
_atom_site_fract_y
_atom_site_fract_z
_atom_site_occupancy
Pa1 Pa 0.1652 0.0000 0.0000 1
Bi1 Bi 0.0000 0.4449 0.2500 1
Bi2 Bi 0.1872 0.2619 0.7500 1
H1 H 0.0000 0.0902 0.2500 1
```

Results
- Magnetization: 3.4 μB/cell
- Calculated total energy: -5.61 eV/atom
- Volume: 25.5 A^3/atom

Record 4
Material: CsIrRh3
Method: DFT, PBE
State: relaxed

Structure (CIF):
```
data_CsIrRh3
_cell_length_a 4.8522
_cell_length_b 4.8522
_cell_length_c 4.8522
_cell_angle_alpha 90.00
_cell_angle_beta 90.00
_cell_angle_gamma 90.00
_symmetry_space_group_name_H-M 'P m -3 m'
_symmetry_Int_Tables_number 221
_symmetry_space_group_name_Hall '-P 4 2 3'
loop_
_atom_site_label
_atom_site_type_symbol
_atom_site_fract_x
_atom_site_fract_y
_atom_site_fract_z
_atom_site_occupancy
Cs1 Cs 0.0000 0.0000 0.0000 1
Ir1 Ir 0.5000 0.5000 0.5000 1
Rh1 Rh 0.0000 0.0000 0.5000 1
```

Results
- Formation enthalpy at 0 K: 2.652 eV per atom
- Magnetization: 2.8 μB/cell
- Distance to the lowest polymorph of the same formula: 1593 meV per atom
- Volume: 22.8 A^3/atom

Record 5
Material: KCuNi
Method: DFT, PBE
State: relaxed

Structure (CIF):
```
data_KCuNi
_cell_length_a 3.2933
_cell_length_b 3.2933
_cell_length_c 11.4391
_cell_angle_alpha 90.00
_cell_angle_beta 90.00
_cell_angle_gamma 90.00
_symmetry_space_group_name_H-M 'I 4 m m'
_symmetry_Int_Tables_number 107
_symmetry_space_group_name_Hall 'I 4 -2'
loop_
_atom_site_label
_atom_site_type_symbol
_atom_site_fract_x
_atom_site_fract_y
_atom_site_fract_z
_atom_site_occupancy
K1 K 0.0000 0.0000 0.0000 1
Cu1 Cu 0.0000 0.0000 0.2739 1
Ni1 Ni 0.0000 0.0000 0.7276 1
```

Results
- Formation enthalpy at 0 K: 0.470 eV per atom
- Magnetization: 0.0 μB/cell
- Distance to the lowest polymorph of the same formula: 36 meV per atom
- Volume: 20.7 A^3/atom

Record 6
Material: CuMoAu2
Method: DFT, PBE
State: relaxed

Structure (CIF):
```
data_CuMoAu2
_cell_length_a 3.8529
_cell_length_b 3.8529
_cell_length_c 18.7353
_cell_angle_alpha 90.00
_cell_angle_beta 90.00
_cell_angle_gamma 90.00
_symmetry_space_group_name_H-M 'I -4 2 d'
_symmetry_Int_Tables_number 122
_symmetry_space_group_name_Hall 'I -4 2bw'
loop_
_atom_site_label
_atom_site_type_symbol
_atom_site_fract_x
_atom_site_fract_y
_atom_site_fract_z
_atom_site_occupancy
Cu1 Cu 0.0000 0.0000 0.0000 1
Mo1 Mo 0.0000 0.0000 0.5000 1
Au1 Au 0.2455 0.2500 0.1250 1
```

Results
- Formation enthalpy at 0 K: 0.687 eV per atom
- Magnetization: 0.0 μB/cell
- Distance to the lowest polymorph of the same formula: 559 meV per atom
- Volume: 17.4 A^3/atom

Record 7
Material: NaWN3
Method: DFT, PBE
State: relaxed

Structure (CIF):
```
data_NaWN3
_cell_length_a 3.8122
_cell_length_b 3.8122
_cell_length_c 3.8122
_cell_angle_alpha 90.00
_cell_angle_beta 90.00
_cell_angle_gamma 90.00
_symmetry_space_group_name_H-M 'P m -3 m'
_symmetry_Int_Tables_number 221
_symmetry_space_group_name_Hall '-P 4 2 3'
loop_
_atom_site_label
_atom_site_type_symbol
_atom_site_fract_x
_atom_site_fract_y
_atom_site_fract_z
_atom_site_occupancy
Na1 Na 0.0000 0.0000 0.0000 1
W1 W 0.5000 0.5000 0.5000 1
N1 N 0.0000 0.0000 0.5000 1
```

Results
- Magnetization: 1.9 μB/cell
- Formation energy from raw total energies: 14.31 eV per formula unit
- Volume: 11.1 A^3/atom

Record 8
Material: Ba3InAg8
Method: DFT, PBE
State: relaxed

Structure (CIF):
```
data_Ba3InAg8
_cell_length_a 5.9423
_cell_length_b 5.9423
_cell_length_c 29.7800
_cell_angle_alpha 90.00
_cell_angle_beta 90.00
_cell_angle_gamma 120.00
_symmetry_space_group_name_H-M 'R 3 m'
_symmetry_Int_Tables_number 160
_symmetry_space_group_name_Hall 'R 3 -2"'
loop_
_atom_site_label
_atom_site_type_symbol
_atom_site_fract_x
_atom_site_fract_y
_atom_site_fract_z
_atom_site_occupancy
Ba1 Ba 0.0000 0.0000 0.0000 1
Ba2 Ba 0.0000 0.0000 0.1287 1
Ba3 Ba 0.0000 0.0000 0.6160 1
In1 In 0.0000 0.0000 0.4948 1
Ag1 Ag 0.0000 0.0000 0.3101 1
Ag2 Ag 0.0000 0.0000 0.8117 1
Ag3 Ag 0.0016 0.5008 0.0627 1
Ag4 Ag 0.0050 0.5025 0.5589 1
```

Results
- Formation enthalpy at 0 K: -0.142 eV per atom
- Magnetization: 0.0 μB/cell
- Volume: 25.3 A^3/atom

Record 9
Material: ZrMnBIr2
Method: DFT, PBE
State: relaxed

Structure (CIF):
```
data_ZrMnBIr2
_cell_length_a 4.1282
_cell_length_b 4.1282
_cell_length_c 4.1140
_cell_angle_alpha 90.00
_cell_angle_beta 90.00
_cell_angle_gamma 90.00
_symmetry_space_group_name_H-M 'P 4/m m m'
_symmetry_Int_Tables_number 123
_symmetry_space_group_name_Hall '-P 4 2'
loop_
_atom_site_label
_atom_site_type_symbol
_atom_site_fract_x
_atom_site_fract_y
_atom_site_fract_z
_atom_site_occupancy
Zr1 Zr 0.0000 0.0000 0.0000 1
Mn1 Mn 0.5000 0.5000 0.0000 1
B1 B 0.5000 0.5000 0.5000 1
Ir1 Ir 0.0000 0.5000 0.5000 1
```

Results
- Formation enthalpy at 0 K: -0.496 eV per atom
- Magnetization: 1.9 μB/cell
- Volume: 14.0 A^3/atom

Record 10
Material: CsNpCu2I6
Method: DFT, PBE
State: relaxed

Structure (CIF):
```
data_CsNpCu2I6
_cell_length_a 15.1230
_cell_length_b 13.6332
_cell_length_c 9.9604
_cell_angle_alpha 90.00
_cell_angle_beta 113.75
_cell_angle_gamma 90.00
_symmetry_space_group_name_H-M 'C 1 2/c 1'
_symmetry_Int_Tables_number 15
_symmetry_space_group_name_Hall '-C 2yc'
loop_
_atom_site_label
_atom_site_type_symbol
_atom_site_fract_x
_atom_site_fract_y
_atom_site_fract_z
_atom_site_occupancy
Cs1 Cs 0.0000 0.1933 0.2500 1
Np1 Np 0.0000 0.2547 0.7500 1
Cu1 Cu 0.2286 0.3397 0.9149 1
I1 I 0.1014 0.4028 0.9983 1
I2 I 0.1034 0.0818 0.9724 1
I3 I 0.1784 0.2561 0.6648 1
```

Results
- Magnetization: 16.0 μB/cell
- Formation energy from raw total energies: -7.20 eV per formula unit
- Volume: 47.0 A^3/atom

Record 11
Material: Tl8In2Bi
Method: DFT, PBE
State: relaxed

Structure (CIF):
```
data_Tl8In2Bi
_cell_length_a 14.3627
_cell_length_b 9.6881
_cell_length_c 5.5997
_cell_angle_alpha 90.00
_cell_angle_beta 102.65
_cell_angle_gamma 90.00
_symmetry_space_group_name_H-M 'C 1 2/m 1'
_symmetry_Int_Tables_number 12
_symmetry_space_group_name_Hall '-C 2y'
loop_
_atom_site_label
_atom_site_type_symbol
_atom_site_fract_x
_atom_site_fract_y
_atom_site_fract_z
_atom_site_occupancy
Tl1 Tl 0.0775 0.2133 0.2836 1
Tl2 Tl 0.1105 0.0000 0.7960 1
Tl3 Tl 0.2400 0.5000 0.6032 1
In1 In 0.1300 0.5000 0.0449 1
Bi1 Bi 0.0000 0.5000 0.5000 1
```

Results
- Formation enthalpy at 0 K: 0.097 eV per atom
- Magnetization: 0.0 μB/cell
- Distance to the lowest polymorph of the same formula: 82 meV per atom
- Volume: 34.6 A^3/atom

Record 12
Material: YTmRh2
Method: DFT, PBE
State: relaxed

Structure (CIF):
```
data_YTmRh2
_cell_length_a 4.7561
_cell_length_b 4.7561
_cell_length_c 3.4971
_cell_angle_alpha 90.00
_cell_angle_beta 90.00
_cell_angle_gamma 90.00
_symmetry_space_group_name_H-M 'P 4/m m m'
_symmetry_Int_Tables_number 123
_symmetry_space_group_name_Hall '-P 4 2'
loop_
_atom_site_label
_atom_site_type_symbol
_atom_site_fract_x
_atom_site_fract_y
_atom_site_fract_z
_atom_site_occupancy
Y1 Y 0.0000 0.0000 0.0000 1
Tm1 Tm 0.5000 0.5000 0.0000 1
Rh1 Rh 0.0000 0.5000 0.5000 1
```

Results
- Formation enthalpy at 0 K: -0.901 eV per atom
- Magnetization: 0.0 μB/cell
- Volume: 19.8 A^3/atom